A relaxed structure of AgPdNO2. Source: Alexandria, functional PBE.

Cell and atoms, written as POSCAR:
```
AgPdNO2
1.0
4.177 0.000 0.000
0.000 4.177 0.000
0.000 0.000 3.698
Ag Pd N O
1 1 1 2
direct
0.000 0.000 0.000
0.500 0.500 0.500
0.500 0.500 0.000
0.000 0.500 0.500
0.500 0.000 0.500
```

Results
Total energy ... -22.082 eV per cell
Energy relative to the elements, uncorrected ... 4.20 eV per formula unit
SG ... P4/mmm, No. 123